The following is a DFT calculation (PBE-GGA) of a relaxed Ba2ZrNb crystal.

- D(E_F): 15.9 states/eV/cell
- V: 558 Å³/cell
- Energy of formation from the pure elements: 125.3 kJ per mole of atoms

```
data_Ba2ZrNb
_chemical_formula_sum 'Ba8 Zr4 Nb4'
_space_group_name_H-M_alt 'I -4 2 d'
_space_group_IT_number 122
_space_group_name_Hall 'I -4 2bw'
_cell_length_a 9.418
_cell_length_b 9.418
_cell_length_c 6.288
_cell_angle_alpha 90.00
_cell_angle_beta 90.00
_cell_angle_gamma 90.00
loop_
_atom_site_label
_atom_site_fract_x
_atom_site_fract_y
_atom_site_fract_z
_atom_site_occupancy
Ba1 0.215 0.250 0.125 1
Zr1 0.000 0.000 0.500 1
Nb1 0.000 0.000 0.000 1
```

The following is a DFT calculation (PBE-GGA) of a relaxed HfTl2SiPd crystal.

- D(E_F): 5.7 states/eV/cell
- V: 153 Å³/cell
- Raw formation energy: 1.005 eV/atom

```
data_HfTl2SiPd
_chemical_formula_sum 'Hf1 Tl2 Si1 Pd1'
_space_group_name_H-M_alt 'P 4/m m m'
_space_group_IT_number 123
_space_group_name_Hall '-P 4 2'
_cell_length_a 5.599
_cell_length_b 5.599
_cell_length_c 4.890
_cell_angle_alpha 90.00
_cell_angle_beta 90.00
_cell_angle_gamma 90.00
loop_
_atom_site_label
_atom_site_fract_x
_atom_site_fract_y
_atom_site_fract_z
_atom_site_occupancy
Hf1 0.000 0.000 0.000 1
Tl1 0.000 0.500 0.000 1
Si1 0.500 0.500 0.500 1
Pd1 0.000 0.000 0.500 1
```

Among the records above, which one has the lowest D(E_F)?
HfTl2SiPd